# 1
A relaxed CuTcPb2 crystal. Source: Alexandria via LeMat-Bulk, functional PBE-GGA.

Computed properties:
Magnetic moment in μB per atom: 0.00
E_form in eV/f.u.: 2.75

a = 4.8318 Å, b = 4.8318 Å, c = 4.8318 Å
α = 60.00°, β = 60.00°, γ = 60.00°
Last column: nearest neighbours and their distance in Å.
Atoms (fractional coordinates):
Pb: 0.2500 0.2500 0.2500  4 Tc 2.96, 4 Cu 2.96
Pb: 0.7500 0.7500 0.7500  4 Tc 2.96, 4 Cu 2.96
Tc: 0.5000 0.5000 0.5000  8 Pb 2.96
Cu: 0.0000 0.0000 0.0000  8 Pb 2.96

# 2
A relaxed CuTcPb2 crystal. Source: Alexandria via LeMat-Bulk, functional PBE-GGA.

Computed properties:
Magnetic moment in μB per atom: 0.01
E_form in eV/f.u.: 2.34

a = 8.8176 Å, b = 8.8176 Å, c = 8.8176 Å
α = 21.70°, β = 21.70°, γ = 21.70°
Last column: nearest neighbours and their distance in Å.
Atoms (fractional coordinates):
Pb: 0.0005 0.0005 0.0005  3 Tc 2.87, 3 Cu 2.89
Pb: 0.4995 0.4995 0.4995  3 Tc 2.87, 3 Cu 2.89
Cu: 0.2500 0.2500 0.2500  6 Pb 2.89
Tc: 0.7500 0.7500 0.7500  6 Pb 2.87